# 1
The following is a DFT calculation (PBE) of an optimized crystal structure of GaRuOF2.

crystal system	tetragonal
SG	P4/mmm, No. 123

```
GaRuOF2
1.0
4.193 0.000 0.000
0.000 4.193 0.000
0.000 0.000 3.680
F Ru O Ga
2 1 1 1
Direct
0.000 0.500 0.000 F
0.500 0.000 0.000 F
0.500 0.500 0.500 Ru
0.000 0.000 0.500 O
0.000 0.000 0.000 Ga
```

***

# 2
The following is a DFT calculation (PBE) of an optimized crystal structure of Ca2VCu2.

crystal system	tetragonal
DFT formation energy	0.218	eV/atom
SG	P4/mbm, No. 127

```
Ca2VCu2
1.0
7.157 0.000 0.000
0.000 7.157 0.000
0.000 0.000 4.271
Ca V Cu
4 2 4
Direct
0.677 0.823 0.500 Ca
0.177 0.677 0.500 Ca
0.323 0.177 0.500 Ca
0.823 0.323 0.500 Ca
0.500 0.500 0.000 V
0.000 0.000 0.000 V
0.625 0.125 0.000 Cu
0.875 0.625 0.000 Cu
0.125 0.375 0.000 Cu
0.375 0.875 0.000 Cu
```

***

no.,total energy (eV per atom),ΔE to the lowest computed polymorph (meV/atom)
1,-5.011,282
2,-4.045,0